No. 1
Computed, not measured: a relaxed La2Sc4Ge3H2 crystal at the PBE level of DFT.

Unit cell a=12.041 b=12.041 c=12.041 alpha=159.02 beta=159.02 gamma=29.84
Atoms (fractional coordinates):
La 0.198 0.198 0.000
La 0.802 0.802 0.000
Sc 0.076 0.576 0.500
Sc 0.424 0.924 0.500
Sc 0.576 0.076 0.500
Sc 0.924 0.424 0.500
Ge 0.340 0.340 0.000
Ge 0.500 0.500 0.000
Ge 0.660 0.660 0.000
H 0.089 0.089 0.000
H 0.911 0.911 0.000

No. 2
Computed, not measured: a relaxed Sr6Bi3Pt crystal at the PBE level of DFT.

Unit cell a=7.971 b=8.822 c=14.052 alpha=90.00 beta=124.45 gamma=90.00
Atoms (fractional coordinates):
Sr 0.092 0.197 0.426
Sr 0.092 0.303 0.926
Sr 0.254 0.677 0.441
Sr 0.254 0.823 0.941
Sr 0.380 0.058 0.239
Sr 0.380 0.442 0.739
Sr 0.620 0.558 0.261
Sr 0.620 0.942 0.761
Sr 0.746 0.177 0.059
Sr 0.746 0.323 0.559
Sr 0.908 0.697 0.074
Sr 0.908 0.803 0.574
Bi 0.218 0.091 0.753
Bi 0.218 0.409 0.253
Bi 0.500 0.000 0.500
Bi 0.500 0.500 0.000
Bi 0.782 0.591 0.747
Bi 0.782 0.909 0.247
Pt 0.000 0.000 0.000
Pt 0.000 0.500 0.500

## Properties
ΔE_f = -7.804 eV/f.u.

No. 3
Computed, not measured: a relaxed YCdOs crystal at the PBE level of DFT.

Unit cell a=4.731 b=4.731 c=4.731 alpha=60.00 beta=60.00 gamma=60.00
Atoms (fractional coordinates):
Y 0.000 0.000 0.000
Cd 0.250 0.250 0.250
Os 0.750 0.750 0.750

## Properties
ΔE_f = 2.662 eV/f.u.

No. 4
Computed, not measured: a relaxed RbTc2SnRu crystal at the PBE level of DFT.

Unit cell a=4.933 b=4.933 c=5.226 alpha=90.00 beta=90.00 gamma=90.00
Atoms (fractional coordinates):
Rb 0.000 0.000 0.000
Tc 0.000 0.500 0.500
Tc 0.500 0.000 0.500
Sn 0.500 0.500 0.000
Ru 0.500 0.500 0.500

## Properties
ΔE_f = 6.501 eV/f.u.

| no. | volume (Å³ per atom) | DFT total energy (eV per atom) |
| --- | --- | --- |
| 1 | 20.33 | -5.7700 |
| 2 | 40.74 | -3.5579 |
| 3 | 24.96 | -5.3158 |
| 4 | 25.44 | -5.6954 |